Here is MgFeAsBr2 at its PBEsol-relaxed geometry from the Alexandria database. Energies are from meta-GGA SCAN.

```
data_MgFeAsBr2
_chemical_formula_sum 'Mg1 Fe1 As1 Br2'
_space_group_name_H-M_alt 'P 4/m m m'
_space_group_IT_number 123
_space_group_name_Hall '-P 4 2'
_cell_length_a 4.592
_cell_length_b 4.592
_cell_length_c 5.981
_cell_angle_alpha 90.00
_cell_angle_beta 90.00
_cell_angle_gamma 90.00
loop_
_atom_site_label
_atom_site_type_symbol
_atom_site_fract_x
_atom_site_fract_y
_atom_site_fract_z
_atom_site_occupancy
Mg1 Mg 0.000 0.000 0.000 1
Fe1 Fe 0.000 0.000 0.500 1
As1 As 0.500 0.500 0.000 1
Br1 Br 0.000 0.500 0.500 1
```

Values from the calculation:
The formation energy without anion corrections is 0.320 eV/atom. The value obtained for the magnetic moment is 0.95 μB/atom.



Here is La2MgAg at its PBEsol-relaxed geometry from the Alexandria database. Energies are from meta-GGA SCAN.

```
data_La2MgAg
_chemical_formula_sum 'La4 Mg2 Ag2'
_space_group_name_H-M_alt 'I m m 2'
_space_group_IT_number 44
_cell_length_a 3.749
_cell_length_b 5.332
_cell_length_c 10.916
_cell_angle_alpha 90.00
_cell_angle_beta 90.00
_cell_angle_gamma 90.00
loop_
_space_group_symop_operation_xyz
'x,y,z'
'-x,-y,z'
'-x,y,z'
'x,-y,z'
'x+1/2,y+1/2,z+1/2'
'-x+1/2,-y+1/2,z+1/2'
'-x+1/2,y+1/2,z+1/2'
'x+1/2,-y+1/2,z+1/2'
loop_
_atom_site_label
_atom_site_type_symbol
_atom_site_fract_x
_atom_site_fract_y
_atom_site_fract_z
_atom_site_occupancy
La1 La 0.000 0.000 0.000 1
La2 La 0.000 0.500 0.215 1
Mg1 Mg 0.000 0.500 0.783 1
Ag1 Ag 0.000 0.000 0.469 1
```

Values from the calculation:
The value obtained for the magnetic moment is 0.07 μB/atom. The calculation puts the formation energy at -190.9 meV/atom.



Here is Cs2LiCuH at its PBEsol-relaxed geometry from the Alexandria database. Energies are from meta-GGA SCAN.

```
data_Cs2LiCuH
_chemical_formula_sum 'Cs2 Li1 Cu1 H1'
_space_group_name_H-M_alt 'P 4/m m m'
_space_group_IT_number 123
_space_group_name_Hall '-P 4 2'
_cell_length_a 6.555
_cell_length_b 6.555
_cell_length_c 3.595
_cell_angle_alpha 90.00
_cell_angle_beta 90.00
_cell_angle_gamma 90.00
loop_
_atom_site_label
_atom_site_type_symbol
_atom_site_fract_x
_atom_site_fract_y
_atom_site_fract_z
_atom_site_occupancy
Cs1 Cs 0.000 0.500 0.000 1
Li1 Li 0.000 0.000 0.000 1
Cu1 Cu 0.500 0.500 0.500 1
H1 H 0.000 0.000 0.500 1
```

Values from the calculation:
The calculation puts the total energy at -18.9876 eV per atom. The value obtained for the magnetic moment is 0.00 μB/atom.



Here is Cu2ReSe at its PBEsol-relaxed geometry from the Alexandria database. Energies are from meta-GGA SCAN.

```
data_Cu2ReSe
_chemical_formula_sum 'Cu4 Re2 Se2'
_space_group_name_H-M_alt 'I m m m'
_space_group_IT_number 71
_space_group_name_Hall '-I 2 2'
_cell_length_a 2.915
_cell_length_b 4.225
_cell_length_c 8.750
_cell_angle_alpha 90.00
_cell_angle_beta 90.00
_cell_angle_gamma 90.00
loop_
_atom_site_label
_atom_site_type_symbol
_atom_site_fract_x
_atom_site_fract_y
_atom_site_fract_z
_atom_site_occupancy
Cu1 Cu 0.000 0.000 0.238 1
Re1 Re 0.000 0.500 0.000 1
Se1 Se 0.000 0.500 0.500 1
```

Values from the calculation:
The formation energy without anion corrections is 0.618 eV/atom. The value obtained for the magnetic moment is 0.00 μB/atom.



Here is Li4Co3OF11 at its PBEsol-relaxed geometry from the Alexandria database. Energies are from meta-GGA SCAN.

```
data_Li4Co3OF11
_chemical_formula_sum 'Li4 Co3 O1 F11'
_space_group_name_H-M_alt 'P 1'
_space_group_IT_number 1
_cell_length_a 5.527
_cell_length_b 5.785
_cell_length_c 6.145
_cell_angle_alpha 101.11
_cell_angle_beta 101.40
_cell_angle_gamma 97.48
loop_
_space_group_symop_operation_xyz
'x,y,z'
loop_
_atom_site_label
_atom_site_type_symbol
_atom_site_fract_x
_atom_site_fract_y
_atom_site_fract_z
_atom_site_occupancy
Li1 Li 0.000 0.000 0.000 1
Li2 Li 0.204 0.293 0.594 1
Li3 Li 0.476 0.827 0.774 1
Li4 Li 0.732 0.324 0.850 1
Co1 Co 0.303 0.517 0.109 1
Co2 Co 0.568 0.041 0.310 1
Co3 Co 0.862 0.667 0.441 1
O1 O 0.558 0.712 0.314 1
F1 F 0.069 0.284 0.866 1
F2 F 0.181 0.639 0.574 1
F3 F 0.271 0.839 0.045 1
F4 F 0.304 0.263 0.258 1
F5 F 0.473 0.086 0.603 1
F6 F 0.489 0.506 0.881 1
F7 F 0.687 0.082 0.039 1
F8 F 0.776 0.364 0.476 1
F9 F 0.807 0.777 0.723 1
F10 F 0.947 0.979 0.413 1
F11 F 0.949 0.559 0.172 1
```

Values from the calculation:
The formation energy without anion corrections is -2.467 eV/atom. The value obtained for the magnetic moment is 0.32 μB/atom.



Here is ZnFe3Ru at its PBEsol-relaxed geometry from the Alexandria database. Energies are from meta-GGA SCAN.

```
data_ZnFe3Ru
_chemical_formula_sum 'Zn1 Fe3 Ru1'
_space_group_name_H-M_alt 'P m -3 m'
_space_group_IT_number 221
_space_group_name_Hall '-P 4 2 3'
_cell_length_a 4.403
_cell_length_b 4.403
_cell_length_c 4.403
_cell_angle_alpha 90.00
_cell_angle_beta 90.00
_cell_angle_gamma 90.00
loop_
_atom_site_label
_atom_site_type_symbol
_atom_site_fract_x
_atom_site_fract_y
_atom_site_fract_z
_atom_site_occupancy
Zn1 Zn 0.000 0.000 0.000 1
Fe1 Fe 0.000 0.500 0.500 1
Ru1 Ru 0.500 0.500 0.500 1
```

Values from the calculation:
The value obtained for the magnetic moment is 2.03 μB/atom. The calculation puts the formation energy at 1399.0 meV/atom.



Here is SmAl7Au3 at its PBEsol-relaxed geometry from the Alexandria database. Energies are from meta-GGA SCAN.

```
data_SmAl7Au3
_chemical_formula_sum 'Sm6 Al42 Au18'
_space_group_name_H-M_alt 'R -3 c'
_space_group_IT_number 167
_space_group_name_Hall '-R 3 2"c'
_cell_length_a 8.0357
_cell_length_b 8.0357
_cell_length_c 20.9865
_cell_angle_alpha 90.00
_cell_angle_beta 90.00
_cell_angle_gamma 120.00
loop_
_atom_site_label
_atom_site_type_symbol
_atom_site_fract_x
_atom_site_fract_y
_atom_site_fract_z
_atom_site_occupancy
Sm1 Sm 0.0000 0.0000 0.0000 1
Al1 Al 0.0000 0.0000 0.2500 1
Al2 Al 0.0106 0.2073 0.1366 1
Au1 Au 0.0000 0.3227 0.2500 1
```

Values from the calculation:
The value obtained for the magnetic moment is 0.00 μB/atom. The calculation puts the formation energy at -739.7 meV/atom.



Here is TaBe2Fe at its PBEsol-relaxed geometry from the Alexandria database. Energies are from meta-GGA SCAN.

```
data_TaBe2Fe
_chemical_formula_sum 'Ta3 Be6 Fe3'
_space_group_name_H-M_alt 'R 3 m'
_space_group_IT_number 160
_space_group_name_Hall 'R 3 -2"'
_cell_length_a 2.6335
_cell_length_b 2.6335
_cell_length_c 24.3316
_cell_angle_alpha 90.00
_cell_angle_beta 90.00
_cell_angle_gamma 120.00
loop_
_atom_site_label
_atom_site_type_symbol
_atom_site_fract_x
_atom_site_fract_y
_atom_site_fract_z
_atom_site_occupancy
Ta1 Ta 0.0000 0.0000 0.0000 1
Be1 Be 0.0000 0.0000 0.4982 1
Be2 Be 0.0000 0.0000 0.7576 1
Fe1 Fe 0.0000 0.0000 0.2391 1
```

Values from the calculation:
The energy above the most stable polymorph in this dataset comes out at 154 kJ/mol of formula units. The value obtained for the magnetic moment is 0.61 μB/atom. The calculation puts the formation energy at 338.2 meV/atom.



Here is TaCr2Br at its PBEsol-relaxed geometry from the Alexandria database. Energies are from meta-GGA SCAN.

```
data_TaCr2Br
_chemical_formula_sum 'Ta2 Cr4 Br2'
_space_group_name_H-M_alt 'I -4 m 2'
_space_group_IT_number 119
_space_group_name_Hall 'I -4 -2'
_cell_length_a 3.625
_cell_length_b 3.625
_cell_length_c 9.001
_cell_angle_alpha 90.00
_cell_angle_beta 90.00
_cell_angle_gamma 90.00
loop_
_atom_site_label
_atom_site_type_symbol
_atom_site_fract_x
_atom_site_fract_y
_atom_site_fract_z
_atom_site_occupancy
Ta1 Ta 0.000 0.000 0.000 1
Cr1 Cr 0.000 0.000 0.500 1
Cr2 Cr 0.000 0.500 0.750 1
Br1 Br 0.000 0.500 0.250 1
```

Values from the calculation:
The energy above the most stable polymorph in this dataset comes out at 180 kJ/mol of formula units. The formation energy without anion corrections is 0.795 eV/atom. The value obtained for the magnetic moment is 0.34 μB/atom.



Here is Rb3NbS4 at its PBEsol-relaxed geometry from the Alexandria database. Energies are from meta-GGA SCAN.

```
data_Rb3NbS4
_chemical_formula_sum 'Rb12 Nb4 S16'
_space_group_name_H-M_alt 'P n m a'
_space_group_IT_number 62
_cell_length_a 9.516
_cell_length_b 10.916
_cell_length_c 9.642
_cell_angle_alpha 90.00
_cell_angle_beta 90.00
_cell_angle_gamma 90.00
loop_
_space_group_symop_operation_xyz
'x,y,z'
'-x,-y,-z'
'-x+1/2,-y,z+1/2'
'x+1/2,y,-z+1/2'
'x+1/2,-y+1/2,-z+1/2'
'-x+1/2,y+1/2,z+1/2'
'-x,y+1/2,-z'
'x,-y+1/2,z'
loop_
_atom_site_label
_atom_site_type_symbol
_atom_site_fract_x
_atom_site_fract_y
_atom_site_fract_z
_atom_site_occupancy
Rb1 Rb 0.053 0.043 0.210 1
Rb2 Rb 0.141 0.750 0.420 1
Nb1 Nb 0.220 0.750 0.986 1
S1 S 0.000 0.250 0.918 1
S2 S 0.163 0.077 0.551 1
S3 S 0.199 0.750 0.750 1
```

Values from the calculation:
The formation energy without anion corrections is -1.441 eV/atom. The value obtained for the magnetic moment is 0.00 μB/atom.



- Number 2 is which compound?
  La2MgAg